Record 1
CaMo3O9: optimized geometry, PBE with a Hubbard U. Values from VASP.

```
&SYSTEM
  ibrav = 0, nat = 26, ntyp = 3
/
ATOMIC_SPECIES
Ca 40.08 Ca.upf
Mo 95.94 Mo.upf
O 16.00 O.upf
CELL_PARAMETERS angstrom
7.999 -3.955 0.000
7.999 3.955 0.000
-6.540 0.000 9.220
ATOMIC_POSITIONS crystal
Ca 0.250 0.750 0.500
Ca 0.750 0.250 0.000
Mo 0.044 0.240 0.828
Mo 0.240 0.044 0.328
Mo 0.273 0.462 0.682
Mo 0.462 0.273 0.182
Mo 0.716 0.782 0.243
Mo 0.782 0.716 0.743
O 0.000 0.596 0.673
O 0.066 0.134 0.179
O 0.134 0.066 0.679
O 0.177 0.901 0.340
O 0.247 0.248 0.497
O 0.248 0.247 0.997
O 0.321 0.612 0.661
O 0.364 0.435 0.331
O 0.435 0.364 0.831
O 0.489 0.887 0.306
O 0.558 0.739 0.599
O 0.596 0.000 0.173
O 0.612 0.321 0.161
O 0.739 0.558 0.099
O 0.782 0.932 0.890
O 0.887 0.489 0.806
O 0.901 0.177 0.840
O 0.932 0.782 0.390
```

Summary:
SG: Cc
Total DFT energy (no corrections) in eV/atom: -7.016

---

Record 2
Ca2MoO3: optimized geometry, PBE with a Hubbard U. Values from VASP.

```
&SYSTEM
  ibrav = 0, nat = 6, ntyp = 3
/
ATOMIC_SPECIES
Ca 40.08 Ca.upf
Mo 95.94 Mo.upf
O 16.00 O.upf
CELL_PARAMETERS angstrom
-1.675 2.387 4.933
1.675 -2.387 4.933
1.675 2.387 -4.933
ATOMIC_POSITIONS crystal
Ca 0.168 0.168 0.000
Ca 0.832 0.832 0.000
Mo 0.500 0.500 0.000
O 0.000 0.500 0.500
O 0.343 0.843 0.500
O 0.657 0.157 0.500
```

Summary:
SG: Immm
Total DFT energy (no corrections) in eV/atom: -6.474
DOS(E_F) in states/eV/cell: 0.6

---

Record 3
CaMo2O: optimized geometry, PBE with a Hubbard U. Values from VASP.

```
&SYSTEM
  ibrav = 0, nat = 8, ntyp = 3
/
ATOMIC_SPECIES
Ca 40.08 Ca.upf
Mo 95.94 Mo.upf
O 16.00 O.upf
CELL_PARAMETERS angstrom
-3.345 3.345 5.018
3.345 -3.345 5.018
3.345 3.345 -5.018
ATOMIC_POSITIONS crystal
Ca 0.375 0.625 0.750
Ca 0.625 0.375 0.250
Mo 0.000 0.000 0.000
Mo 0.000 0.000 0.500
Mo 0.000 0.500 0.000
Mo 0.500 0.000 0.500
O 0.125 0.875 0.250
O 0.875 0.125 0.750
```

Summary:
SG: I4_1/amd
Total DFT energy (no corrections) in eV/atom: -5.122
DOS(E_F) in states/eV/cell: 5.2

---

Record 4
CaMo2O7: optimized geometry, PBE with a Hubbard U. Values from VASP.

```
&SYSTEM
  ibrav = 0, nat = 20, ntyp = 3
/
ATOMIC_SPECIES
Ca 40.08 Ca.upf
Mo 95.94 Mo.upf
O 16.00 O.upf
CELL_PARAMETERS angstrom
7.133 0.000 0.000
0.000 7.495 0.000
-1.450 0.000 7.350
ATOMIC_POSITIONS crystal
Ca 0.131 0.000 0.036
Ca 0.869 0.500 0.964
Mo 0.247 0.094 0.565
Mo 0.351 0.506 0.089
Mo 0.649 0.006 0.911
Mo 0.753 0.594 0.435
O 0.107 0.023 0.723
O 0.171 0.995 0.347
O 0.186 0.684 0.022
O 0.202 0.315 0.057
O 0.231 0.323 0.545
O 0.479 0.996 0.052
O 0.488 0.532 0.329
O 0.512 0.032 0.671
O 0.521 0.496 0.948
O 0.769 0.823 0.455
O 0.798 0.815 0.943
O 0.814 0.184 0.978
O 0.829 0.495 0.653
O 0.893 0.523 0.277
```

Summary:
SG: P2_1
Total DFT energy (no corrections) in eV/atom: -7.013
DOS(E_F) in states/eV/cell: 0.0

---

Record 5
Ca2Mo2O5: optimized geometry, PBE with a Hubbard U. Values from VASP.

```
&SYSTEM
  ibrav = 0, nat = 18, ntyp = 3
/
ATOMIC_SPECIES
Ca 40.08 Ca.upf
Mo 95.94 Mo.upf
O 16.00 O.upf
CELL_PARAMETERS angstrom
5.572 0.000 0.000
0.000 10.948 0.000
0.000 0.000 3.981
ATOMIC_POSITIONS crystal
Ca 0.165 0.141 0.000
Ca 0.335 0.641 0.000
Ca 0.665 0.359 0.000
Ca 0.835 0.859 0.000
Mo 0.175 0.396 0.500
Mo 0.325 0.896 0.500
Mo 0.675 0.104 0.500
Mo 0.825 0.604 0.500
O 0.000 0.000 0.500
O 0.115 0.708 0.500
O 0.231 0.381 0.000
O 0.269 0.881 0.000
O 0.385 0.208 0.500
O 0.500 0.500 0.500
O 0.615 0.792 0.500
O 0.731 0.119 0.000
O 0.769 0.619 0.000
O 0.885 0.292 0.500
```

Summary:
SG: Pbam
Total DFT energy (no corrections) in eV/atom: -6.743

---

Record 6
CaMoO2: optimized geometry, PBE with a Hubbard U. Values from VASP.

```
&SYSTEM
  ibrav = 0, nat = 16, ntyp = 3
/
ATOMIC_SPECIES
Ca 40.08 Ca.upf
Mo 95.94 Mo.upf
O 16.00 O.upf
CELL_PARAMETERS angstrom
-3.230 3.230 5.623
3.230 -3.230 5.623
3.230 3.230 -5.623
ATOMIC_POSITIONS crystal
Ca 0.000 0.000 0.000
Ca 0.000 0.000 0.500
Ca 0.000 0.500 0.000
Ca 0.500 0.000 0.500
Mo 0.000 0.500 0.500
Mo 0.500 0.000 0.000
Mo 0.500 0.500 0.000
Mo 0.500 0.500 0.500
O 0.217 0.236 0.518
O 0.217 0.699 0.982
O 0.236 0.217 0.018
O 0.301 0.783 0.518
O 0.699 0.217 0.482
O 0.764 0.783 0.982
O 0.783 0.301 0.018
O 0.783 0.764 0.482
```

Summary:
SG: I4_1/amd
Total DFT energy (no corrections) in eV/atom: -6.633
DOS(E_F) in states/eV/cell: 0.5

---

Record 7
Ca3MoO: optimized geometry, PBE with a Hubbard U. Values from VASP.

```
&SYSTEM
  ibrav = 0, nat = 5, ntyp = 3
/
ATOMIC_SPECIES
Ca 40.08 Ca.upf
Mo 95.94 Mo.upf
O 16.00 O.upf
CELL_PARAMETERS angstrom
5.903 0.000 0.000
0.000 5.903 0.000
0.000 0.000 5.903
ATOMIC_POSITIONS crystal
Ca 0.000 0.000 0.500
Ca 0.000 0.500 0.000
Ca 0.500 0.000 0.000
Mo 0.000 0.000 0.000
O 0.500 0.500 0.500
```

Summary:
SG: Pm-3m
Total DFT energy (no corrections) in eV/atom: -2.614
DOS(E_F) in states/eV/cell: 12.4

---

Record 8
CaMo2O5: optimized geometry, PBE with a Hubbard U. Values from VASP.

```
&SYSTEM
  ibrav = 0, nat = 16, ntyp = 3
/
ATOMIC_SPECIES
Ca 40.08 Ca.upf
Mo 95.94 Mo.upf
O 16.00 O.upf
CELL_PARAMETERS angstrom
3.593 0.000 0.000
0.000 13.064 0.000
0.000 0.000 5.174
ATOMIC_POSITIONS crystal
Ca 0.250 0.250 0.061
Ca 0.750 0.750 0.939
Mo 0.250 0.605 0.463
Mo 0.250 0.895 0.463
Mo 0.750 0.105 0.537
Mo 0.750 0.395 0.537
O 0.250 0.067 0.390
O 0.250 0.433 0.390
O 0.250 0.640 0.116
O 0.250 0.750 0.622
O 0.250 0.860 0.116
O 0.750 0.140 0.884
O 0.750 0.250 0.378
O 0.750 0.360 0.884
O 0.750 0.567 0.610
O 0.750 0.933 0.610
```

Summary:
SG: Pmmn
Total DFT energy (no corrections) in eV/atom: -7.004

---

Record 9
CaMoO2: optimized geometry, PBE with a Hubbard U. Values from VASP.

```
&SYSTEM
  ibrav = 0, nat = 4, ntyp = 3
/
ATOMIC_SPECIES
Ca 40.08 Ca.upf
Mo 95.94 Mo.upf
O 16.00 O.upf
CELL_PARAMETERS angstrom
1.701 0.982 6.205
-1.701 0.982 6.205
0.000 -1.965 6.205
ATOMIC_POSITIONS crystal
Ca 0.000 0.000 0.000
Mo 0.500 0.500 0.500
O 0.398 0.398 0.398
O 0.602 0.602 0.602
```

Summary:
SG: R-3m
Total DFT energy (no corrections) in eV/atom: -6.464
DOS(E_F) in states/eV/cell: 1.1

---

Record 10
Ca2MoO4: optimized geometry, PBE with a Hubbard U. Values from VASP.

```
&SYSTEM
  ibrav = 0, nat = 28, ntyp = 3
/
ATOMIC_SPECIES
Ca 40.08 Ca.upf
Mo 95.94 Mo.upf
O 16.00 O.upf
CELL_PARAMETERS angstrom
5.645 0.000 0.000
0.000 5.793 0.000
0.000 0.000 11.790
ATOMIC_POSITIONS crystal
Ca 0.012 0.060 0.151
Ca 0.012 0.440 0.651
Ca 0.488 0.560 0.151
Ca 0.488 0.940 0.651
Ca 0.512 0.060 0.349
Ca 0.512 0.440 0.849
Ca 0.988 0.560 0.349
Ca 0.988 0.940 0.849
Mo 0.000 0.000 0.500
Mo 0.000 0.500 0.000
Mo 0.500 0.000 0.000
Mo 0.500 0.500 0.500
O 0.091 0.035 0.667
O 0.091 0.465 0.167
O 0.200 0.191 0.968
O 0.200 0.309 0.468
O 0.300 0.691 0.968
O 0.300 0.809 0.468
O 0.409 0.535 0.667
O 0.409 0.965 0.167
O 0.591 0.035 0.833
O 0.591 0.465 0.333
O 0.700 0.191 0.532
O 0.700 0.309 0.032
O 0.800 0.691 0.532
O 0.800 0.809 0.032
O 0.909 0.535 0.833
O 0.909 0.965 0.333
```

Summary:
SG: Pbca
Total DFT energy (no corrections) in eV/atom: -6.906
DOS(E_F) in states/eV/cell: 0.0

---

Record 11
Ca4MoO5: optimized geometry, PBE with a Hubbard U. Values from VASP.

```
&SYSTEM
  ibrav = 0, nat = 10, ntyp = 3
/
ATOMIC_SPECIES
Ca 40.08 Ca.upf
Mo 95.94 Mo.upf
O 16.00 O.upf
CELL_PARAMETERS angstrom
-3.742 3.742 2.439
3.742 -3.742 2.439
3.742 3.742 -2.439
ATOMIC_POSITIONS crystal
Ca 0.099 0.297 0.396
Ca 0.297 0.901 0.198
Ca 0.703 0.099 0.802
Ca 0.901 0.703 0.604
Mo 0.500 0.500 0.000
O 0.000 0.000 0.000
O 0.210 0.596 0.805
O 0.404 0.210 0.614
O 0.596 0.790 0.386
O 0.790 0.404 0.195
```

Summary:
SG: I4/m
Total DFT energy (no corrections) in eV/atom: -6.472
DOS(E_F) in states/eV/cell: 0.8

---

Record 12
CaMo4O8: optimized geometry, PBE with a Hubbard U. Values from VASP.

```
&SYSTEM
  ibrav = 0, nat = 13, ntyp = 3
/
ATOMIC_SPECIES
Ca 40.08 Ca.upf
Mo 95.94 Mo.upf
O 16.00 O.upf
CELL_PARAMETERS angstrom
3.292 0.000 0.000
1.365 7.081 0.000
1.508 0.048 7.144
ATOMIC_POSITIONS crystal
Ca 0.000 0.000 0.000
Mo 0.133 0.176 0.529
Mo 0.348 0.528 0.824
Mo 0.652 0.472 0.176
Mo 0.867 0.824 0.471
O 0.039 0.614 0.280
O 0.294 0.313 0.044
O 0.358 0.711 0.607
O 0.366 0.960 0.315
O 0.634 0.040 0.685
O 0.642 0.289 0.393
O 0.706 0.687 0.956
O 0.961 0.386 0.720
```

Summary:
SG: P-1
Total DFT energy (no corrections) in eV/atom: -7.143
DOS(E_F) in states/eV/cell: 0.2

---

Record 13
CaMoOsO6: optimized geometry, PBE with a Hubbard U. Values from VASP.

```
&SYSTEM
  ibrav = 0, nat = 18, ntyp = 4
/
ATOMIC_SPECIES
Ca 40.08 Ca.upf
Mo 95.94 Mo.upf
Os 190.23 Os.upf
O 16.00 O.upf
CELL_PARAMETERS angstrom
4.850 0.000 0.000
0.000 4.850 0.000
0.000 0.000 9.579
ATOMIC_POSITIONS crystal
Ca 0.000 0.000 0.000
Ca 0.500 0.500 0.500
Mo 0.000 0.000 0.664
Mo 0.500 0.500 0.164
Os 0.000 0.000 0.329
Os 0.500 0.500 0.829
O 0.174 0.174 0.493
O 0.217 0.217 0.189
O 0.221 0.221 0.812
O 0.279 0.721 0.312
O 0.283 0.717 0.689
O 0.326 0.674 0.993
O 0.674 0.326 0.993
O 0.717 0.283 0.689
O 0.721 0.279 0.312
O 0.779 0.779 0.812
O 0.783 0.783 0.189
O 0.826 0.826 0.493
```

Summary:
SG: P4_2nm
Total DFT energy (no corrections) in eV/atom: -7.247
DOS(E_F) in states/eV/cell: 7.3

---

Record 14
CaMo3P3O13: optimized geometry, PBE with a Hubbard U. Values from VASP.

```
&SYSTEM
  ibrav = 0, nat = 40, ntyp = 4
/
ATOMIC_SPECIES
Ca 40.08 Ca.upf
Mo 95.94 Mo.upf
P 30.97 P.upf
O 16.00 O.upf
CELL_PARAMETERS angstrom
7.760 0.000 0.000
0.000 6.691 0.000
-1.742 0.000 10.591
ATOMIC_POSITIONS crystal
Ca 0.147 0.250 0.192
Ca 0.853 0.750 0.808
Mo 0.145 0.250 0.792
Mo 0.268 0.750 0.440
Mo 0.500 0.000 0.000
Mo 0.500 0.500 0.000
Mo 0.732 0.250 0.560
Mo 0.855 0.750 0.208
P 0.178 0.750 0.110
P 0.243 0.750 0.765
P 0.283 0.250 0.502
P 0.717 0.750 0.498
P 0.757 0.250 0.235
P 0.822 0.250 0.890
O 0.010 0.250 0.966
O 0.125 0.571 0.786
O 0.125 0.929 0.786
O 0.143 0.750 0.251
O 0.149 0.250 0.594
O 0.248 0.068 0.410
O 0.248 0.432 0.410
O 0.276 0.553 0.093
O 0.276 0.947 0.093
O 0.309 0.750 0.640
O 0.389 0.250 0.897
O 0.411 0.750 0.871
O 0.469 0.250 0.579
O 0.531 0.750 0.421
O 0.589 0.250 0.129
O 0.611 0.750 0.103
O 0.691 0.250 0.360
O 0.724 0.053 0.907
O 0.724 0.447 0.907
O 0.752 0.568 0.590
O 0.752 0.932 0.590
O 0.851 0.750 0.406
O 0.857 0.250 0.749
O 0.875 0.071 0.214
O 0.875 0.429 0.214
O 0.990 0.750 0.034
```

Summary:
SG: P2_1/m
Total DFT energy (no corrections) in eV/atom: -7.372

---

Record 15
CaMoPO6: optimized geometry, PBE with a Hubbard U. Values from VASP.

```
&SYSTEM
  ibrav = 0, nat = 9, ntyp = 4
/
ATOMIC_SPECIES
Ca 40.08 Ca.upf
Mo 95.94 Mo.upf
P 30.97 P.upf
O 16.00 O.upf
CELL_PARAMETERS angstrom
5.044 0.000 0.000
-2.522 4.368 0.000
0.000 0.000 4.326
ATOMIC_POSITIONS crystal
Ca 0.000 0.000 0.000
Mo 0.667 0.333 0.500
P 0.333 0.667 0.000
O 0.033 0.404 0.235
O 0.033 0.629 0.765
O 0.371 0.404 0.765
O 0.371 0.967 0.235
O 0.596 0.629 0.235
O 0.596 0.967 0.765
```

Summary:
SG: P312
Total DFT energy (no corrections) in eV/atom: -6.644
DOS(E_F) in states/eV/cell: 1.6

---

Record 16
CaMoP2O8: optimized geometry, PBE with a Hubbard U. Values from VASP.

```
&SYSTEM
  ibrav = 0, nat = 12, ntyp = 4
/
ATOMIC_SPECIES
Ca 40.08 Ca.upf
Mo 95.94 Mo.upf
P 30.97 P.upf
O 16.00 O.upf
CELL_PARAMETERS angstrom
-3.432 3.432 2.941
3.432 -3.432 2.941
3.432 3.432 -2.941
ATOMIC_POSITIONS crystal
Ca 0.000 0.000 0.000
Mo 0.250 0.750 0.500
P 0.500 0.500 0.000
P 0.750 0.250 0.500
O 0.343 0.160 0.818
O 0.343 0.525 0.182
O 0.406 0.077 0.329
O 0.475 0.657 0.818
O 0.748 0.077 0.671
O 0.840 0.657 0.182
O 0.923 0.252 0.329
O 0.923 0.594 0.671
```

Summary:
SG: I-4m2
Total DFT energy (no corrections) in eV/atom: -7.179
DOS(E_F) in states/eV/cell: 0.0

---

Record 17
CaMoP2O: optimized geometry, PBE with a Hubbard U. Values from VASP.

```
&SYSTEM
  ibrav = 0, nat = 5, ntyp = 4
/
ATOMIC_SPECIES
Ca 40.08 Ca.upf
Mo 95.94 Mo.upf
P 30.97 P.upf
O 16.00 O.upf
CELL_PARAMETERS angstrom
5.267 0.000 0.000
0.000 5.267 0.000
0.000 0.000 4.130
ATOMIC_POSITIONS crystal
Ca 0.000 0.000 0.000
Mo 0.500 0.500 0.500
P 0.000 0.500 0.000
P 0.500 0.000 0.000
O 0.000 0.000 0.500
```

Summary:
SG: P4/mmm
Total DFT energy (no corrections) in eV/atom: -4.275
DOS(E_F) in states/eV/cell: 5.5

---

Record 18
CaMoPO2: optimized geometry, PBE with a Hubbard U. Values from VASP.

```
&SYSTEM
  ibrav = 0, nat = 5, ntyp = 4
/
ATOMIC_SPECIES
Ca 40.08 Ca.upf
Mo 95.94 Mo.upf
P 30.97 P.upf
O 16.00 O.upf
CELL_PARAMETERS angstrom
3.980 0.000 0.000
0.000 3.980 0.000
0.000 0.000 5.025
ATOMIC_POSITIONS crystal
Ca 0.000 0.000 0.000
Mo 0.500 0.500 0.500
P 0.500 0.500 0.000
O 0.000 0.500 0.500
O 0.500 0.000 0.500
```

Summary:
SG: P4/mmm
Total DFT energy (no corrections) in eV/atom: -6.125
DOS(E_F) in states/eV/cell: 1.5